A plane-wave DFT calculation with GGA+U was carried out for a relaxed CoOF crystal.

Computed properties:
E above lowest polymorph   0.15 eV per formula unit

POSCAR file:
```
CoOF
1.0
9.099 0.000 0.000
0.000 4.492 0.000
0.000 0.000 4.518
Co O F
6 6 6
direct
0.000 0.227 0.000
0.167 0.724 0.563
0.333 0.276 0.063
0.500 0.773 0.500
0.667 0.276 0.063
0.833 0.724 0.563
0.000 0.919 0.731
0.166 0.431 0.852
0.334 0.569 0.352
0.500 0.081 0.231
0.666 0.569 0.352
0.834 0.431 0.852
0.000 0.511 0.332
0.162 0.029 0.241
0.338 0.971 0.741
0.500 0.489 0.832
0.662 0.971 0.741
0.838 0.029 0.241
```